# MnCuPt

A relaxed structure of MnCuPt (GGA-PBE, the Alexandria database).

volume = 14.31 A^3/atom
electronic total energy = -6.546 eV per atom
offset from the most stable computed form = 10.62 kJ/mol of atoms
D(E_F) = 3.5 states/eV per cell
total moment = 8.23 μB per cell

Unit cell a=4.3279 b=4.3279 c=5.2903 alpha=90.00 beta=90.00 gamma=120.00
Fractional coordinates of all 6 atoms:
Mn 0.0000 0.0000 0.0000
Mn 0.0000 0.0000 0.5000
Cu 0.3333 0.6667 0.2500
Cu 0.6667 0.3333 0.7500
Pt 0.3333 0.6667 0.7500
Pt 0.6667 0.3333 0.2500